Below is an optimized crystal structure of TaTlCoAu, with properties calculated at the PBE-GGA level.

Summary:
The symmetry is F-43m, No. 216. The polymorph energy (0 for the lowest one) comes out at 57 meV/atom.

a = 4.5954 Å, b = 4.5954 Å, c = 4.5954 Å
α = 60.00°, β = 60.00°, γ = 60.00°
Positions (direct):
Ta: 0.0000 0.0000 0.0000
Tl: 0.2500 0.2500 0.2500
Co: 0.5000 0.5000 0.5000
Au: 0.7500 0.7500 0.7500